# 1
LiCd3Ag4 | GGA-PBE | relaxed

The structure in extended XYZ format:
```
8
Lattice="8.3212 -2.1564 0.0000 8.3212 2.1564 0.0000 -1.1105 0.0000 4.1676" Properties=species:S:1:pos:R:3 pbc="T T T"
Li 0.0000 0.0000 0.0000
Cd 3.8669 0.0000 1.0354
Cd 7.7659 0.0000 2.0838
Cd 11.6649 0.0000 3.1322
Ag 1.3318 0.0000 2.5869
Ag 5.3251 0.0000 3.6594
Ag 10.2068 0.0000 0.5082
Ag 14.2000 0.0000 1.5806
```

# 2
LiCd5Ag8 | GGA-PBE | relaxed

The structure in extended XYZ format:
```
14
Lattice="-4.0692 4.0692 4.1595 4.0692 -4.0692 4.1595 4.0692 4.0692 -4.1595" Properties=species:S:1:pos:R:3 pbc="T T T"
Li 0.0000 0.0000 0.0000
Cd 5.0512 2.3252 -0.7180
Cd 4.0692 0.0000 2.0797
Cd 2.3252 3.0873 0.7180
Cd -0.9820 1.7441 3.4415
Cd 1.7441 0.9820 4.8775
Ag 2.7272 3.2831 -2.1206
Ag 1.3420 0.7862 2.0389
Ag -0.5446 2.6649 0.6732
Ag 4.8554 2.7272 2.1206
Ag 0.5446 5.4736 0.6732
Ag 1.4043 3.5246 3.4863
Ag -0.7862 1.3420 6.2801
Ag -1.4043 4.6139 3.4863
```

# 3
Li8Cd3Ag | GGA-PBE | relaxed

The structure in extended XYZ format:
```
12
Lattice="4.6038 -4.7160 0.0000 4.6038 4.7160 0.0000 -4.5910 0.0000 6.2399" Properties=species:S:1:pos:R:3 pbc="T T T"
Li -0.0751 0.0000 1.5797
Li 2.3071 2.4343 1.6282
Li 2.3095 2.4343 4.6117
Li -0.0727 0.0000 4.6579
Li 4.6893 0.0000 1.5820
Li 2.3071 -2.4343 1.6282
Li 2.3095 -2.4343 4.6117
Li 4.6918 0.0000 4.6602
Cd 4.6038 2.3576 0.0000
Cd 2.3083 0.0000 3.1199
Cd 4.6038 -2.3576 0.0000
Ag -2.2955 0.0000 3.1199
```

# 4
Li12Cd2Ag5 | GGA-PBE | relaxed

The structure in extended XYZ format:
```
19
Lattice="6.9043 -4.6160 0.0000 6.9043 4.6160 0.0000 -0.9414 0.0000 5.0274" Properties=species:S:1:pos:R:3 pbc="T T T"
Li 3.3192 2.3199 4.0195
Li 0.6548 0.0000 1.5941
Li 5.1055 2.2305 2.0518
Li 7.7617 2.2305 2.9756
Li 4.4057 0.0000 4.9240
Li 9.5480 2.3199 1.0078
Li 3.3192 -2.3199 4.0195
Li 8.4614 0.0000 0.1034
Li 5.1055 -2.2305 2.0518
Li 7.7617 -2.2305 2.9756
Li 12.2124 0.0000 3.4332
Li 9.5480 -2.3199 1.0078
Cd 6.9043 2.4244 0.0000
Cd 6.9043 -2.4244 0.0000
Ag 1.3889 0.0000 4.3933
Ag 3.4019 0.0000 2.2615
Ag 6.4336 0.0000 2.5137
Ag 9.4652 0.0000 2.7659
Ag 11.4782 0.0000 0.6340
```

# 5
Li2Cd3Ag8 | GGA-PBE | relaxed

The structure in extended XYZ format:
```
13
Lattice="2.7537 1.5898 9.9619 -2.7537 1.5898 9.9619 0.0000 -3.1797 9.9619" Properties=species:S:1:pos:R:3 pbc="T T T"
Li 0.0000 0.0000 4.1769
Li 0.0000 0.0000 25.7089
Cd 0.0000 0.0000 9.5078
Cd 0.0000 0.0000 14.9429
Cd 0.0000 0.0000 20.3781
Ag 0.0000 0.0000 6.7144
Ag 0.0000 -1.5893 11.9752
Ag -1.3763 0.7946 11.9752
Ag -1.3763 -0.7946 17.9106
Ag 1.3763 0.7946 11.9752
Ag 1.3763 -0.7946 17.9106
Ag 0.0000 1.5893 17.9106
Ag 0.0000 0.0000 23.1714
```

# 6
LiCd3Ag | GGA-PBE | relaxed

The structure in extended XYZ format:
```
5
Lattice="4.8437 0.0000 0.0000 0.0000 4.8437 0.0000 0.0000 0.0000 4.8437" Properties=species:S:1:pos:R:3 pbc="T T T"
Li 0.0000 0.0000 0.0000
Cd 0.0000 0.0000 2.4219
Cd 0.0000 2.4219 0.0000
Cd 2.4219 0.0000 0.0000
Ag 2.4219 2.4219 2.4219
```

# 7
LiCd2Ag3 | GGA-PBE | relaxed

The structure in extended XYZ format:
```
12
Lattice="7.3920 -1.4606 0.0000 7.3920 1.4606 0.0000 -5.2011 0.0000 10.6611" Properties=species:S:1:pos:R:3 pbc="T T T"
Li 0.2584 0.0000 1.5880
Li 9.3245 0.0000 9.0731
Cd -2.9287 0.0000 10.2291
Cd 1.5443 0.0000 6.6431
Cd 8.0385 0.0000 4.0180
Cd 12.5115 0.0000 0.4320
Ag -1.2676 0.0000 5.7179
Ag -0.5547 0.0000 8.5395
Ag 5.2784 0.0000 3.0614
Ag 4.3044 0.0000 7.5997
Ag 10.1375 0.0000 2.1216
Ag 10.8504 0.0000 4.9433
```

# 8
Li2Cd12Ag5 | GGA-PBE | relaxed

The structure in extended XYZ format:
```
19
Lattice="9.2791 -4.5596 0.0000 9.2791 4.5596 0.0000 -1.1582 0.0000 4.4963" Properties=species:S:1:pos:R:3 pbc="T T T"
Li 9.2791 2.4510 0.0000
Li 9.2791 -2.4510 0.0000
Cd 4.6924 2.1521 3.6082
Cd 1.7304 0.0000 0.4522
Cd 7.1820 2.0746 1.8592
Cd 10.2180 2.0746 2.6371
Cd 6.6967 0.0000 4.1419
Cd 12.7077 2.1521 0.8881
Cd 4.6924 -2.1521 3.6082
Cd 10.7034 0.0000 0.3544
Cd 7.1820 -2.0746 1.8592
Cd 10.2180 -2.0746 2.6371
Cd 15.6697 0.0000 4.0441
Cd 12.7077 -2.1521 0.8881
Ag -0.5791 0.0000 2.2482
Ag 2.7736 0.0000 3.1205
Ag 5.1461 0.0000 1.3300
Ag 12.2540 0.0000 3.1664
Ag 14.6264 0.0000 1.3758
```

# 9
Li6CdAg3 | GGA-PBE | relaxed

The structure in extended XYZ format:
```
20
Lattice="7.6363 0.0000 0.0000 0.0000 4.6869 0.0000 -3.6810 0.0000 9.4451" Properties=species:S:1:pos:R:3 pbc="T T T"
Li -1.2959 1.1717 3.9917
Li 0.5040 3.5152 1.6609
Li 1.6697 1.1717 0.1214
Li 1.4036 1.1717 3.0467
Li -0.1974 3.5152 7.3020
Li 1.0172 1.1717 5.8124
Li 2.9380 3.5152 3.6327
Li 4.1527 1.1717 2.1431
Li 2.5517 3.5152 6.3984
Li 2.2856 3.5152 9.3237
Li 3.4513 1.1717 7.7842
Li 5.2512 3.5152 5.4534
Cd 3.2020 3.5152 0.8089
Cd 0.7533 1.1717 8.6362
Ag -2.7783 3.5152 8.2600
Ag -1.6250 1.1717 6.7694
Ag 0.2731 3.5152 4.5028
Ag 3.6822 1.1717 4.9423
Ag 5.5803 3.5152 2.6757
Ag 6.7335 1.1717 1.1851
```

# 10
LiCd7Ag4 | GGA-PBE | relaxed

The structure in extended XYZ format:
```
12
Lattice="6.6491 -2.4781 0.0000 6.6491 2.4781 0.0000 -6.1800 0.0000 8.0152" Properties=species:S:1:pos:R:3 pbc="T T T"
Li 0.0000 0.0000 0.0000
Cd -1.1864 0.0000 2.6911
Cd -2.4294 0.0000 6.8839
Cd 2.1066 0.0000 3.2607
Cd 6.6491 0.0000 0.0000
Cd 5.0116 0.0000 4.7545
Cd 9.5476 0.0000 1.1313
Cd 8.3046 0.0000 5.3241
Ag -0.0195 0.0000 5.2613
Ag 4.3985 0.0000 1.6690
Ag 2.7197 0.0000 6.3461
Ag 7.1377 0.0000 2.7539
```

# 11
Li12CdAg6 | GGA-PBE | relaxed

The structure in extended XYZ format:
```
19
Lattice="6.2584 3.6133 2.3546 -6.2584 3.6133 2.3546 0.0000 -7.2266 2.3546" Properties=species:S:1:pos:R:3 pbc="T T T"
Li -1.7352 -0.1477 1.1476
Li 0.9955 -1.4289 1.1476
Li -2.3412 -1.7809 3.6168
Li 0.7397 1.5766 1.1476
Li -2.7129 1.1371 3.4469
Li 0.3717 -2.9180 3.4469
Li -0.3717 2.9180 3.6168
Li 2.7129 -1.1371 3.6168
Li -0.7397 -1.5766 5.9161
Li 2.3412 1.7809 3.4469
Li -0.9955 1.4289 5.9161
Li 1.7352 0.1477 5.9160
Cd 0.0000 0.0000 3.5318
Ag -4.9269 -0.6357 3.4370
Ag -1.9129 -4.5847 3.6267
Ag -3.0140 3.9489 3.6267
Ag 3.0140 -3.9489 3.4370
Ag 1.9129 4.5847 3.4370
Ag 4.9269 0.6357 3.6267
```

# 12
LiLuCdAg | GGA-PBE | relaxed

The structure in extended XYZ format:
```
4
Lattice="0.0000 3.4216 3.4216 3.4216 0.0000 3.4216 3.4216 3.4216 0.0000" Properties=species:S:1:pos:R:3 pbc="T T T"
Li 0.0000 0.0000 0.0000
Lu 5.1325 5.1325 5.1325
Cd 1.7108 1.7108 1.7108
Ag 3.4216 3.4216 3.4216
```

# 13
Li2Mg2Cd4Ag3 | GGA-PBE | relaxed

The structure in extended XYZ format:
```
11
Lattice="-1.9940 1.9940 14.7983 1.9940 -1.9940 14.7983 1.9940 1.9940 -14.7983" Properties=species:S:1:pos:R:3 pbc="T T T"
Li 0.0000 0.0000 1.2392
Li 0.0000 0.0000 28.3574
Mg 0.0000 0.0000 6.3885
Mg 0.0000 0.0000 23.2081
Cd 1.9940 0.0000 3.3668
Cd 1.9940 0.0000 11.4315
Cd 0.0000 1.9940 3.3668
Cd 0.0000 1.9940 11.4315
Ag 0.0000 0.0000 9.1808
Ag 0.0000 0.0000 14.7983
Ag 0.0000 0.0000 20.4158
```

# 14
Li2Mg2Cd5Ag2 | GGA-PBE | relaxed

The structure in extended XYZ format:
```
11
Lattice="-2.1622 2.1622 13.6862 2.1622 -2.1622 13.6862 2.1622 2.1622 -13.6862" Properties=species:S:1:pos:R:3 pbc="T T T"
Li 0.0000 0.0000 2.2779
Li 0.0000 0.0000 25.0944
Mg 0.0000 0.0000 6.8403
Mg 0.0000 0.0000 20.5321
Cd 2.1622 0.0000 4.6103
Cd 2.1622 0.0000 9.0759
Cd 0.0000 0.0000 13.6862
Cd 0.0000 2.1622 4.6103
Cd 0.0000 2.1622 9.0759
Ag 0.0000 0.0000 10.9852
Ag 0.0000 0.0000 16.3872
```

# 15
LiMg3Cd3Ag2 | GGA-PBE | relaxed

The structure in extended XYZ format:
```
9
Lattice="8.1049 0.0000 0.0000 -4.0525 7.0191 0.0000 0.0000 0.0000 3.1136" Properties=species:S:1:pos:R:3 pbc="T T T"
Li 0.0000 0.0000 0.0000
Mg -1.5179 2.6290 0.0000
Mg 3.0357 0.0000 0.0000
Mg 2.5346 4.3901 0.0000
Cd -2.8815 4.9910 1.5568
Cd 1.1709 2.0281 1.5568
Cd 5.7631 0.0000 1.5568
Ag 0.0000 4.6794 1.5568
Ag 4.0525 2.3397 1.5568
```

# 16
Li2MgCdAg | GGA-PBE | relaxed

The structure in extended XYZ format:
```
10
Lattice="2.3115 -5.0081 0.0000 2.3115 5.0081 0.0000 0.0000 0.0000 8.4374" Properties=species:S:1:pos:R:3 pbc="T T T"
Li 2.3115 3.0982 4.7172
Li 2.3115 3.0982 7.9389
Li 2.3115 -3.0982 0.4985
Li 2.3115 -3.0982 3.7202
Mg 2.3115 0.0000 0.0000
Mg 2.3115 0.0000 4.2187
Cd 2.3115 1.8957 2.1094
Cd 2.3115 -1.8957 6.3281
Ag 2.3115 4.7091 2.1094
Ag 2.3115 -4.7091 6.3281
```

# 17
Li5MgCdAg2 | GGA-PBE | relaxed

The structure in extended XYZ format:
```
18
Lattice="-3.1986 3.1986 8.7710 3.1986 -3.1986 8.7710 3.1986 3.1986 -8.7710" Properties=species:S:1:pos:R:3 pbc="T T T"
Li 0.0000 0.0000 0.0000
Li 4.3606 1.1620 -2.1338
Li 1.1620 2.0366 -2.1338
Li 4.3606 1.1620 2.1338
Li 1.1620 2.0366 2.1338
Li 0.0000 0.0000 8.7710
Li 2.0366 1.1620 6.6372
Li -1.1620 2.0366 6.6372
Li 2.0366 1.1620 10.9048
Li -1.1620 2.0366 10.9048
Mg 0.0000 0.0000 4.3855
Mg 0.0000 0.0000 13.1565
Cd 3.1986 0.0000 4.3855
Cd 0.0000 3.1986 4.3855
Ag 2.2689 0.9297 0.0000
Ag 2.2689 -0.9297 8.7710
Ag 0.9297 4.1283 0.0000
Ag 0.9297 2.2689 8.7710
```

# 18
Li2Mg4CdAg | GGA-PBE | relaxed

The structure in extended XYZ format:
```
8
Lattice="4.3060 0.0000 0.0000 0.0000 4.3060 0.0000 0.0000 0.0000 9.9948" Properties=species:S:1:pos:R:3 pbc="T T T"
Li 0.0000 0.0000 1.2143
Li 0.0000 0.0000 8.7805
Mg 0.0000 2.1530 3.2228
Mg 0.0000 2.1530 6.7721
Mg 2.1530 0.0000 3.2228
Mg 2.1530 0.0000 6.7721
Cd 2.1530 2.1530 0.0000
Ag 2.1530 2.1530 4.9974
```

# 19
LiMgCd2Ag | GGA-PBE | relaxed

The structure in extended XYZ format:
```
10
Lattice="2.3628 -5.0105 0.0000 2.3628 5.0105 0.0000 0.0000 0.0000 8.8681" Properties=species:S:1:pos:R:3 pbc="T T T"
Li 2.3628 4.5419 6.6511
Li 2.3628 -4.5419 2.2170
Mg 2.3628 1.6230 6.6511
Mg 2.3628 -1.6230 2.2170
Cd 2.3628 3.2223 0.5062
Cd 2.3628 3.2223 3.9279
Cd 2.3628 -3.2223 4.9403
Cd 2.3628 -3.2223 8.3619
Ag 2.3628 0.0000 0.0000
Ag 2.3628 0.0000 4.4341
```

# 20
LiMg2Cd2Ag2 | GGA-PBE | relaxed

The structure in extended XYZ format:
```
7
Lattice="2.4001 1.3857 6.7974 -2.4001 1.3857 6.7974 0.0000 -2.7714 6.7974" Properties=species:S:1:pos:R:3 pbc="T T T"
Li 0.0000 0.0000 0.0000
Mg 0.0000 0.0000 2.8293
Mg 0.0000 0.0000 17.5630
Cd 0.0000 0.0000 8.5921
Cd 0.0000 0.0000 11.8002
Ag 0.0000 0.0000 5.6870
Ag 0.0000 0.0000 14.7053
```

| no. | ΔH_f (0 K) (eV/atom) |
| --- | --- |
| 1 | -0.114 |
| 2 | 0.015 |
| 3 | 0.014 |
| 4 | -0.147 |
| 5 | 0.035 |
| 6 | 0.310 |
| 7 | -0.044 |
| 8 | -0.075 |
| 9 | -0.196 |
| 10 | 0.026 |
| 11 | -0.182 |
| 12 | -0.210 |
| 13 | 0.009 |
| 14 | -0.045 |
| 15 | -0.161 |
| 16 | -0.113 |
| 17 | -0.062 |
| 18 | 0.072 |
| 19 | -0.075 |
| 20 | -0.145 |